5
Lattice="5.1527 0.0000 0.0000 0.0000 5.1527 0.0000 0.0000 0.0000 5.5165" Properties=species:S:1:pos:R:3 comment="CaNb2InB (PBE-GGA, relaxed)" ef_mev_per_atom=2237 sg="P4/mmm (123)" pbc="T T T"
Ca 0.0000 0.0000 0.0000
Nb 0.0000 2.5763 2.7583
Nb 2.5763 0.0000 2.7583
In 0.0000 0.0000 2.7583
B 2.5763 2.5763 0.0000

10
Lattice="4.1119 0.0000 0.0000 0.0000 4.1119 0.0000 0.0000 0.0000 10.4261" Properties=species:S:1:pos:R:3 comment="Ca2AlCu4Ge3 (PBE-GGA, relaxed)" ef_mev_per_atom=-363 sg="P-4m2 (115)" pbc="T T T"
Ca 0.0000 2.0559 2.5189
Ca 2.0559 0.0000 7.9072
Al 0.0000 0.0000 5.2131
Cu 0.0000 0.0000 0.0000
Cu 0.0000 2.0559 6.6369
Cu 2.0559 0.0000 3.7892
Cu 2.0559 2.0559 0.0000
Ge 0.0000 2.0559 9.0587
Ge 2.0559 0.0000 1.3674
Ge 2.0559 2.0559 5.2131

5
Lattice="4.6526 0.0000 0.0000 0.0000 4.6526 0.0000 0.0000 0.0000 6.8209" Properties=species:S:1:pos:R:3 comment="K2TcTeF (PBE-GGA, relaxed)" e_tot_ev_per_atom=-3.84 sg="P4/mmm (123)" pbc="T T T"
K 0.0000 2.3263 0.0000
K 2.3263 0.0000 0.0000
Tc 0.0000 0.0000 3.4105
Te 2.3263 2.3263 3.4105
F 2.3263 2.3263 0.0000

4
Lattice="3.0490 0.0000 0.0000 0.0000 3.0490 0.0000 0.0000 0.0000 8.1991" Properties=species:S:1:pos:R:3 comment="ScHg2Os (PBE-GGA, relaxed)" ef_mev_per_atom=405 sg="P4/mmm (123)" relative_energy_mev_per_atom=316 pbc="T T T"
Sc 0.0000 0.0000 0.0000
Hg 1.5245 1.5245 2.1375
Hg 1.5245 1.5245 6.0616
Os 0.0000 0.0000 4.0995

4
Lattice="4.5499 0.0000 0.0000 -2.2444 5.3797 0.0000 -2.2466 -2.2011 4.9257" Properties=species:S:1:pos:R:3 comment="BaAlHg2 (PBE-GGA, relaxed)" ef_mev_per_atom=-161 sg="P1 (1)" pbc="T T T"
Ba 0.0000 0.0000 0.0000
Al 0.0288 -0.0340 3.5110
Hg -2.2455 1.2616 2.6790
Hg 0.0300 3.1759 1.4370

4
Lattice="0.0000 3.0885 3.0885 3.0885 0.0000 3.0885 3.0885 3.0885 0.0000" Properties=species:S:1:pos:R:3 comment="NaMnMo2 (PBE-GGA, relaxed)" ef_mev_per_atom=995 sg="Fm-3m (225)" relative_energy_mev_per_atom=0 pbc="T T T"
Na 0.0000 0.0000 0.0000
Mn 3.0885 3.0885 3.0885
Mo 1.5442 1.5442 1.5442
Mo 4.6327 4.6327 4.6327

4
Lattice="4.6438 0.0000 0.0000 0.0000 4.6438 0.0000 0.0000 0.0000 4.6989" Properties=species:S:1:pos:R:3 comment="SmZr2Sc (PBE-GGA, relaxed)" ef_mev_per_atom=106 sg="P4/mmm (123)" relative_energy_mev_per_atom=0 pbc="T T T"
Sm 0.0000 0.0000 0.0000
Zr 0.0000 2.3219 2.3494
Zr 2.3219 0.0000 2.3494
Sc 2.3219 2.3219 0.0000

10
Lattice="4.4827 0.0000 0.0000 0.0000 4.4827 0.0000 0.0000 0.0000 10.4921" Properties=species:S:1:pos:R:3 comment="Ac2SnGe4Ir3 (PBE-GGA, relaxed)" ef_mev_per_atom=-615 sg="P-4m2 (115)" pbc="T T T"
Ac 0.0000 2.2413 2.5076
Ac 2.2413 0.0000 7.9845
Sn 0.0000 0.0000 5.2460
Ge 0.0000 0.0000 0.0000
Ge 0.0000 2.2413 6.8272
Ge 2.2413 0.0000 3.6649
Ge 2.2413 2.2413 0.0000
Ir 0.0000 2.2413 9.2928
Ir 2.2413 0.0000 1.1993
Ir 2.2413 2.2413 5.2460

4
Lattice="0.0000 3.4810 3.4810 3.4810 0.0000 3.4810 3.4810 3.4810 0.0000" Properties=species:S:1:pos:R:3 comment="MgPaGaAu (PBE-GGA, relaxed)" ef_mev_per_atom=-337 sg="F-43m (216)" pbc="T T T"
Mg 0.0000 0.0000 0.0000
Pa 3.4810 3.4810 3.4810
Ga 5.2215 5.2215 5.2215
Au 1.7405 1.7405 1.7405

4
Lattice="1.3900 0.8025 8.0704 -1.3900 0.8025 8.0704 0.0000 -1.6051 8.0704" Properties=species:S:1:pos:R:3 comment="BeMoIr2 (PBE-GGA, relaxed)" ef_mev_per_atom=-189 sg="R-3m (166)" pbc="T T T"
Be 0.0000 0.0000 0.0000
Mo 0.0000 0.0000 12.1056
Ir 0.0000 0.0000 6.2520
Ir 0.0000 0.0000 17.9592

6
Lattice="0.0000 4.6315 4.6315 4.6315 0.0000 4.6315 4.6315 4.6315 0.0000" Properties=species:S:1:pos:R:3 comment="MgTlBr4 (PBE-GGA, relaxed)" sg="F-43m (216)" relative_energy_mev_per_atom=1044 pbc="T T T"
Mg 0.0000 0.0000 0.0000
Tl 6.9472 6.9472 6.9472
Br 3.4717 3.4717 3.4717
Br 5.7912 5.7912 3.4717
Br 5.7912 3.4717 5.7912
Br 3.4717 5.7912 5.7912

11
Lattice="2.6242 1.5151 5.1835 -2.6242 1.5151 5.1835 0.0000 -3.0301 5.1835" Properties=species:S:1:pos:R:3 comment="LiCe2Be2O6 (PBE-GGA, relaxed)" e_tot_ev_per_atom=-7.27 sg="R-3m (166)" pbc="T T T"
Li 0.0000 0.0000 0.0000
Ce 0.0000 0.0000 3.2525
Ce 0.0000 0.0000 12.2979
Be 0.0000 0.0000 6.6037
Be 0.0000 0.0000 8.9468
O -1.3174 -0.7606 8.9340
O 0.0000 -1.5212 6.6164
O -1.3174 0.7606 6.6164
O 1.3174 -0.7606 8.9340
O 0.0000 1.5212 8.9340
O 1.3174 0.7606 6.6164